Record 1
Rb2AlBS4 | PBE | relaxed

Summary:
Formation energy from raw total energies ... -798 kJ/mol of formula units
Theoretical density ... 2.526 g cm⁻³
Electronic total energy ... -4.6418 eV/atom
Symmetry ... Fddd (70)
Total magnetization ... 0.000 μB/atom

Cell lengths 13.735, 12.271, 7.288 Å; angles 85.17, 62.90, 31.92 degrees
Positions (direct):
Rb1 0.053 0.053 0.697
Rb2 0.303 0.303 0.947
Rb3 0.697 0.697 0.053
Rb4 0.947 0.947 0.303
Al1 0.125 0.125 0.125
Al2 0.875 0.875 0.875
B1 0.375 0.375 0.375
B2 0.625 0.625 0.625
S1 0.032 0.625 0.551
S2 0.292 0.551 0.625
S3 0.375 0.968 0.708
S4 0.449 0.708 0.968
S5 0.551 0.292 0.032
S6 0.625 0.032 0.292
S7 0.708 0.449 0.375
S8 0.968 0.375 0.449

***

Record 2
RbAlTlB2 | PBE | relaxed

Summary:
Theoretical density ... 3.381 g cm⁻³
Electronic total energy ... -1.5074 eV/atom
ΔH_f (0 K) ... 12.894 eV per formula unit
Symmetry ... P4/mmm (123)
Total magnetization ... 0.000 μB/atom

Cell lengths 5.129, 5.129, 6.320 Å; angles 90.00, 90.00, 90.00 degrees
Positions (direct):
Rb1 0.000 0.000 0.000
Al1 0.500 0.500 0.500
Tl1 0.000 0.000 0.500
B1 0.000 0.500 0.000
B2 0.500 0.000 0.000